# Sm3Si2Rh3 PBE-GGA optimized geometry
# Symmetry: Pnma
# DFT total energy (eV/atom): -6.85
# Crystal system: orthorhombic
data_Sm3Si2Rh3
_chemical_formula_sum 'Sm12 Si8 Rh12'
_space_group_name_H-M_alt 'P 1'
_space_group_IT_number 1
_cell_length_a 5.6568
_cell_length_b 7.6737
_cell_length_c 14.8980
_cell_angle_alpha 90.00
_cell_angle_beta 90.00
_cell_angle_gamma 90.00
loop_
_space_group_symop_operation_xyz
'x,y,z'
loop_
_atom_site_label
_atom_site_fract_x
_atom_site_fract_y
_atom_site_fract_z
Sm1 0.1371 0.4731 0.3922
Sm2 0.6371 0.0269 0.6078
Sm3 0.8629 0.5269 0.8922
Sm4 0.3629 0.9731 0.1078
Sm5 0.8629 0.5269 0.6078
Sm6 0.3629 0.9731 0.3922
Sm7 0.1371 0.4731 0.1078
Sm8 0.6371 0.0269 0.8922
Sm9 0.6129 0.3325 0.2500
Sm10 0.1129 0.1675 0.7500
Sm11 0.3871 0.6675 0.7500
Sm12 0.8871 0.8325 0.2500
Si1 0.8676 0.1243 0.3994
Si2 0.3676 0.3757 0.6006
Si3 0.1324 0.8757 0.8994
Si4 0.6324 0.6243 0.1006
Si5 0.1324 0.8757 0.6006
Si6 0.6324 0.6243 0.3994
Si7 0.8676 0.1243 0.1006
Si8 0.3676 0.3757 0.8994
Rh1 0.0853 0.1807 0.2500
Rh2 0.5853 0.3193 0.7500
Rh3 0.9147 0.8193 0.7500
Rh4 0.4147 0.6807 0.2500
Rh5 0.6012 0.3345 0.4631
Rh6 0.1012 0.1655 0.5369
Rh7 0.3988 0.6655 0.9631
Rh8 0.8988 0.8345 0.0369
Rh9 0.3988 0.6655 0.5369
Rh10 0.8988 0.8345 0.4631
Rh11 0.6012 0.3345 0.0369
Rh12 0.1012 0.1655 0.9631

# KTi2GeI PBE-GGA optimized geometry
# Symmetry: P4/mmm
# DFT total energy (eV/atom): -4.22
# Crystal system: tetragonal
data_KTi2GeI
_chemical_formula_sum 'K1 Ti2 Ge1 I1'
_space_group_name_H-M_alt 'P 1'
_space_group_IT_number 1
_cell_length_a 4.9073
_cell_length_b 8.1349
_cell_length_c 4.9073
_cell_angle_alpha 90.00
_cell_angle_beta 90.00
_cell_angle_gamma 90.00
loop_
_space_group_symop_operation_xyz
'x,y,z'
loop_
_atom_site_label
_atom_site_fract_x
_atom_site_fract_y
_atom_site_fract_z
I1 0.0000 0.5000 0.0000
Ge1 0.0000 0.0000 0.0000
K1 0.5000 0.5000 0.5000
Ti1 0.0000 0.0000 0.5000
Ti2 0.5000 0.0000 0.0000

# Y2WCl PBE-GGA optimized geometry
# Symmetry: Fm-3m
# DFT total energy (eV/atom): -6.61
# Crystal system: cubic
data_Y2WCl
_chemical_formula_sum 'Y2 W1 Cl1'
_space_group_name_H-M_alt 'P 1'
_space_group_IT_number 1
_cell_length_a 5.0565
_cell_length_b 5.0565
_cell_length_c 5.0565
_cell_angle_alpha 60.00
_cell_angle_beta 60.00
_cell_angle_gamma 60.00
loop_
_space_group_symop_operation_xyz
'x,y,z'
loop_
_atom_site_label
_atom_site_fract_x
_atom_site_fract_y
_atom_site_fract_z
Y1 0.2500 0.2500 0.2500
Y2 0.7500 0.7500 0.7500
W1 0.5000 0.5000 0.5000
Cl1 0.0000 0.0000 0.0000